# ZrAlBi2

A geometry-optimized ZrAlBi2 structure (PBE, the Alexandria database).

## Properties
Density of states at the Fermi level ... 7.227 states/eV/cell
Formation energy from the elements ... 0.332 eV/atom

a = 6.757 Å, b = 6.757 Å, c = 7.964 Å
α = 64.90°, β = 64.90°, γ = 90.00°
Last column: magnetic moment on the atom in μB.
Sites, in units of the cell vectors:
1 Bi 0.613 0.125 0.250  -0.01
2 Bi 0.137 0.625 0.250  -0.01
3 Bi 0.375 0.387 0.750  -0.01
4 Bi 0.875 0.863 0.750  -0.01
5 Zr 0.000 0.000 0.000  0.40
6 Zr 0.750 0.250 0.500  0.39
7 Al 0.500 0.500 0.000  0.03
8 Al 0.250 0.750 0.500  0.04